LaRhPb: relaxed, PBE.

```
data_LaRhPb
_space_group_name_H-M_alt 'I 4 m m'
_space_group_IT_number 107
_space_group_name_Hall 'I 4 -2'
_cell_length_a 3.4914
_cell_length_b 3.4914
_cell_length_c 12.0206
_cell_angle_alpha 90.00
_cell_angle_beta 90.00
_cell_angle_gamma 90.00
loop_
_atom_site_label
_atom_site_fract_x
_atom_site_fract_y
_atom_site_fract_z
La1 0.0000 0.0000 0.0000
Rh1 0.0000 0.0000 0.6510
Pb1 0.0000 0.0000 0.2842
```

Output
- energy relative to the elements (eV per atom) = -0.418